1.
Compound: In3SbO
Source: Alexandria
Functional: PBE-GGA
Structure: relaxed

Structure (extended XYZ):
```
5
Lattice="4.8992 0.0000 0.0000 0.0000 4.8992 0.0000 0.0000 0.0000 4.8992" Properties=species:S:1:pos:R:3 pbc="T T T"
In 0.0000 0.0000 2.4496
In 0.0000 2.4496 0.0000
In 2.4496 0.0000 0.0000
Sb 2.4496 2.4496 2.4496
O 0.0000 0.0000 0.0000
```

Results
Formation energy without anion corrections, kJ/mol of atoms: -23.3
Offset from the most stable computed form, meV per atom: 0.0
Total energy, eV/atom: -3.701
DOS at the Fermi energy, states/eV per cell: 3.15

=====

2.
Compound: InSb2O
Source: Alexandria
Functional: PBE-GGA
Structure: relaxed

Structure (extended XYZ):
```
8
Lattice="-2.7843 2.7843 6.9383 2.7843 -2.7843 6.9383 2.7843 2.7843 -6.9383" Properties=species:S:1:pos:R:3 pbc="T T T"
In 0.0000 0.0000 0.0000
In 0.0000 2.7843 3.4692
Sb 1.3922 -0.6403 5.2038
Sb 2.1441 1.3922 1.7346
Sb 1.3922 3.4246 -1.7346
Sb 0.6403 1.3922 8.6729
O 2.7843 0.0000 3.4692
O 0.0000 0.0000 6.9383
```

Results
Formation energy without anion corrections, kJ/mol of atoms: -17.9
Offset from the most stable computed form, meV per atom: 0.0
Total energy, eV/atom: -4.170
DOS at the Fermi energy, states/eV per cell: 5.24

=====

Look up the total energy of the first one.
-3.701 eV/atom